1.
YScNi2Bi2 (PBE, relaxed); magnetization = 0.00 μB/cell; electronic total energy = -143.989 eV/cell; symmetry = No. 6
1.0
-5.2745 3.5518 6.4077
-3.2589 -2.9308 -1.0580
7.3375 -10.0666 5.2841
Bi Ni Sc Y
8 8 4 4
Direct
0.5628 0.0000 0.1251 Bi
0.0649 0.0000 0.1299 Bi
0.9380 0.5000 0.3764 Bi
0.4392 0.5000 0.3780 Bi
0.8043 0.0000 0.6215 Bi
0.3165 0.0000 0.6227 Bi
0.6792 0.5000 0.8699 Bi
0.1932 0.5000 0.8751 Bi
0.9997 0.5000 0.0000 Ni
0.8776 0.0000 0.2569 Ni
0.3795 0.0000 0.2574 Ni
0.7434 0.5000 0.4975 Ni
0.2538 0.5000 0.4976 Ni
0.6176 0.0000 0.7459 Ni
0.1337 0.0000 0.7519 Ni
0.4983 0.5000 0.9948 Ni
0.6869 0.0000 0.3751 Sc
0.1887 0.0000 0.3764 Sc
0.5606 0.5000 0.6234 Sc
0.4368 0.0000 0.8735 Sc
0.8122 0.5000 0.1249 Y
0.3135 0.5000 0.1266 Y
0.0625 0.5000 0.6249 Y
0.9373 0.0000 0.8745 Y

=====

2.
RbPaO3 (PBE, relaxed); magnetization = 0.00 μB/cell; electronic total energy = -76.797 eV/cell; symmetry = No. 148
1.0
-3.0700 5.3174 0.0000
3.0700 5.3174 0.0000
0.0000 3.5449 -6.1569
O Pa Rb
6 2 2
Direct
0.9491 0.5304 0.1903 O
0.5304 0.3301 0.1903 O
0.3301 0.9491 0.1903 O
0.6699 0.0509 0.8097 O
0.4696 0.6699 0.8097 O
0.0509 0.4696 0.8097 O
0.6603 0.6603 0.0190 Pa
0.3397 0.3397 0.9810 Pa
0.8649 0.8649 0.4054 Rb
0.1351 0.1351 0.5946 Rb

=====

3.
Hf2ZrAl3Cu2Pd (PBE, relaxed); magnetization = 0.00 μB/cell; electronic total energy = -57.190 eV/cell; symmetry = No. 38
1.0
4.0485 0.0000 0.0000
0.0000 5.6998 3.2661
0.0000 -5.6998 3.2661
Al Cu Hf Pd Zr
3 2 2 1 1
Direct
0.5000 0.2508 0.0024 Al
0.5000 0.0024 0.2508 Al
0.5000 0.7485 0.7485 Al
0.5000 0.6709 0.3328 Cu
0.5000 0.3328 0.6709 Cu
0.0000 0.5761 0.0000 Hf
0.0000 0.0000 0.5761 Hf
0.0000 0.9941 0.9941 Pd
0.0000 0.4244 0.4244 Zr

=====

4.
ZnCoTeAu (PBE, relaxed); magnetization = 1.65 μB/cell; symmetry = No. 216; relative energy among the computed polymorphs = 0.000 eV per atom
1.0
-3.4668 -3.0596 0.4705
-1.0508 -1.6937 4.1986
-3.9501 1.2679 2.0953
Au Co Te Zn
1 1 1 1
Direct
0.7500 0.7500 0.7500 Au
0.5000 0.5000 0.5000 Co
0.2500 0.2500 0.2500 Te
0.0000 0.0000 0.0000 Zn

=====

5.
Er2Si (PBE, relaxed); magnetization = 0.00 μB/cell; electronic total energy = -26.138 eV/cell; symmetry = No. 227
1.0
0.0000 4.2348 4.2348
4.2348 0.0000 4.2348
4.2348 4.2348 0.0000
Er Si
4 2
Direct
0.6250 0.6250 0.1250 Er
0.6250 0.1250 0.6250 Er
0.1250 0.6250 0.6250 Er
0.6250 0.6250 0.6250 Er
0.0000 0.0000 0.0000 Si
0.2500 0.2500 0.2500 Si

=====

6.
RbTm2Mg2Sb3 (PBE, relaxed); magnetization = 0.00 μB/cell; electronic total energy = -29.470 eV/cell; symmetry = No. 115
1.0
-0.6006 -4.7506 -0.6482
3.4937 -0.8810 3.2199
-7.7225 -0.1610 8.3351
Mg Rb Sb Tm
2 1 3 2
Direct
0.0000 0.5000 0.3283 Mg
0.5000 0.0000 0.6717 Mg
0.0000 0.0000 0.0000 Rb
0.5000 0.5000 0.1888 Sb
0.0000 0.0000 0.5000 Sb
0.5000 0.5000 0.8112 Sb
0.5000 0.0000 0.3417 Tm
0.0000 0.5000 0.6583 Tm

=====

7.
Pt3O2 (PBE, relaxed); magnetization = 0.02 μB/cell; electronic total energy = -48.733 eV/cell; symmetry = No. 167
1.0
-5.9831 0.0000 0.0000
2.9915 -5.1815 0.0000
-2.9915 1.7272 4.3138
O Pt
4 6
Direct
0.6174 0.3826 0.1477 O
0.8826 0.1174 0.3523 O
0.1174 0.8826 0.6477 O
0.3826 0.6174 0.8523 O
0.5782 0.7500 0.2500 Pt
0.9218 0.4218 0.2500 Pt
0.2500 0.0782 0.2500 Pt
0.7500 0.9218 0.7500 Pt
0.0782 0.5782 0.7500 Pt
0.4218 0.2500 0.7500 Pt

=====

8.
LuCuNiAs (PBE, relaxed); magnetization = 0.00 μB/cell; symmetry = No. 216; relative energy among the computed polymorphs = 0.013 eV per atom
1.0
-1.4733 1.3320 4.0447
-4.1799 1.6208 0.4537
-3.1296 -2.4132 2.1647
As Cu Lu Ni
1 1 1 1
Direct
0.0000 0.0000 0.0000 As
0.5000 0.5000 0.5000 Cu
0.2500 0.2500 0.2500 Lu
0.7500 0.7500 0.7500 Ni

=====

9.
SmTmAs (PBE, relaxed); magnetization = 0.02 μB/cell; electronic total energy = -16.040 eV/cell; symmetry = No. 216
1.0
0.0000 3.4192 3.4192
3.4192 0.0000 3.4192
3.4192 3.4192 0.0000
As Sm Tm
1 1 1
Direct
0.0000 0.0000 0.0000 As
0.2500 0.2500 0.2500 Sm
0.7500 0.7500 0.7500 Tm

=====

10.
ThHgB4 (PBE, relaxed); magnetization = 0.00 μB/cell; symmetry = No. 71; relative energy among the computed polymorphs = 0.000 eV per atom
1.0
3.7978 0.1718 3.8850
4.3825 2.5609 -1.9446
-5.2524 0.4940 1.3094
B Hg Th
4 1 1
Direct
0.5531 0.2365 0.3166 B
0.0801 0.7635 0.3166 B
0.9199 0.2365 0.6834 B
0.4469 0.7635 0.6834 B
0.0000 0.0000 0.0000 Hg
0.5000 0.5000 0.0000 Th

=====

11.
PuHfAs2 (PBE, relaxed); magnetization = 10.34 μB/cell; electronic total energy = -74.962 eV/cell; symmetry = No. 187
1.0
3.8626 0.0000 0.0000
-1.9313 3.3451 0.0000
0.0000 0.0000 13.4344
As Hf Pu
4 2 2
Direct
0.6667 0.3333 0.0000 As
0.3333 0.6667 0.2372 As
0.0000 0.0000 0.5000 As
0.3333 0.6667 0.7628 As
0.0000 0.0000 0.1249 Hf
0.0000 0.0000 0.8751 Hf
0.6667 0.3333 0.3659 Pu
0.6667 0.3333 0.6341 Pu

=====

12.
TaZnCuTc (PBE, relaxed); magnetization = 0.00 μB/cell; symmetry = No. 216; relative energy among the computed polymorphs = 0.000 eV per atom
1.0
1.8395 0.3193 3.9666
-2.5259 0.2171 3.5766
-0.1684 -3.3908 2.7737
Cu Ta Tc Zn
1 1 1 1
Direct
0.7500 0.7500 0.7500 Cu
0.5000 0.5000 0.5000 Ta
0.2500 0.2500 0.2500 Tc
0.0000 0.0000 0.0000 Zn

=====

Copy entry 4 word for word.
ZnCoTeAu (PBE, relaxed); magnetization = 1.65 μB/cell; symmetry = No. 216; relative energy among the computed polymorphs = 0.000 eV per atom
1.0
-3.4668 -3.0596 0.4705
-1.0508 -1.6937 4.1986
-3.9501 1.2679 2.0953
Au Co Te Zn
1 1 1 1
Direct
0.7500 0.7500 0.7500 Au
0.5000 0.5000 0.5000 Co
0.2500 0.2500 0.2500 Te
0.0000 0.0000 0.0000 Zn

=====

Copy entry 7 word for word.
Pt3O2 (PBE, relaxed); magnetization = 0.02 μB/cell; electronic total energy = -48.733 eV/cell; symmetry = No. 167
1.0
-5.9831 0.0000 0.0000
2.9915 -5.1815 0.0000
-2.9915 1.7272 4.3138
O Pt
4 6
Direct
0.6174 0.3826 0.1477 O
0.8826 0.1174 0.3523 O
0.1174 0.8826 0.6477 O
0.3826 0.6174 0.8523 O
0.5782 0.7500 0.2500 Pt
0.9218 0.4218 0.2500 Pt
0.2500 0.0782 0.2500 Pt
0.7500 0.9218 0.7500 Pt
0.0782 0.5782 0.7500 Pt
0.4218 0.2500 0.7500 Pt